! VH2PbF8, relaxed, DFT GGA+U; values from VASP
&SYSTEM
  ibrav = 0, nat = 12, ntyp = 4
/
ATOMIC_SPECIES
V 50.94 V.upf
H 1.01 H.upf
Pb 207.20 Pb.upf
F 19.00 F.upf
CELL_PARAMETERS angstrom
4.928 0.000 0.000
-1.557 4.776 0.000
-0.440 -1.130 7.076
ATOMIC_POSITIONS crystal
V 0.000 0.000 0.000
H 0.297 0.535 0.322
H 0.703 0.465 0.678
Pb 0.000 0.000 0.500
F 0.211 0.210 0.821
F 0.223 0.262 0.230
F 0.236 0.794 0.005
F 0.337 0.704 0.427
F 0.663 0.296 0.573
F 0.764 0.206 0.995
F 0.777 0.738 0.770
F 0.789 0.790 0.179
! DOS at the Fermi energy = 0.0 states/eV/f.u.
! DFT total energy = -4.955 eV per atom
! density = 4.1 g cm⁻³